# Rb4CrSe4 PBE optimized geometry
# volume: 37.39 Å³ per atom
# E_form (uncorrected): -0.96 eV/atom
# total moment: 2.00 μB per formula unit
data_Rb4CrSe4
_symmetry_space_group_name_H-M 'P 42/n m c'
_symmetry_Int_Tables_number 137
_cell_length_a 9.592
_cell_length_b 9.592
_cell_length_c 7.315
_cell_angle_alpha 90.00
_cell_angle_beta 90.00
_cell_angle_gamma 90.00
loop_
_symmetry_equiv_pos_as_xyz
'x,y,z'
'-x,-y,-z'
'-y+1/2,x,z+1/2'
'y+1/2,-x,-z+1/2'
'-x+1/2,-y+1/2,z'
'x+1/2,y+1/2,-z'
'y,-x+1/2,z+1/2'
'-y,x+1/2,-z+1/2'
'x+1/2,-y,-z'
'-x+1/2,y,z'
'-y,-x,-z+1/2'
'y,x,z+1/2'
'-x,y+1/2,-z'
'x,-y+1/2,z'
'y+1/2,x+1/2,-z+1/2'
'-y+1/2,-x+1/2,z+1/2'
loop_
_atom_site_label
_atom_site_type_symbol
_atom_site_fract_x
_atom_site_fract_y
_atom_site_fract_z
Rb1 Rb 0.025 0.250 0.095
Cr1 Cr 0.250 0.750 0.250
Se1 Se 0.046 0.750 0.427


# NaSeS3 PBE optimized geometry
# ΔE to the lowest computed polymorph: 366 meV/atom
# volume: 22.96 Å³ per atom
# E_form (uncorrected): 0.15 eV/atom
# total moment: 0.00 μB per formula unit
# DOS at the Fermi energy: 4.07 states/eV per cell
data_NaSeS3
_symmetry_space_group_name_H-M 'P m -3 m'
_symmetry_Int_Tables_number 221
_symmetry_space_group_name_Hall '-P 4 2 3'
_cell_length_a 4.860
_cell_length_b 4.860
_cell_length_c 4.860
_cell_angle_alpha 90.00
_cell_angle_beta 90.00
_cell_angle_gamma 90.00
loop_
_atom_site_label
_atom_site_type_symbol
_atom_site_fract_x
_atom_site_fract_y
_atom_site_fract_z
Na1 Na 0.000 0.000 0.000
Se1 Se 0.500 0.500 0.500
S1 S 0.000 0.500 0.500


# CrMoSeBr2 PBE optimized geometry
# ΔE to the lowest computed polymorph: 0 meV/atom
# volume: 26.41 Å³ per atom
# E_form (uncorrected): 0.45 eV/atom
# total moment: 4.91 μB per formula unit
# DOS at the Fermi energy: 6.70 states/eV per cell
data_CrMoSeBr2
_symmetry_space_group_name_H-M 'P 4/m m m'
_symmetry_Int_Tables_number 123
_symmetry_space_group_name_Hall '-P 4 2'
_cell_length_a 5.219
_cell_length_b 5.219
_cell_length_c 4.848
_cell_angle_alpha 90.00
_cell_angle_beta 90.00
_cell_angle_gamma 90.00
loop_
_atom_site_label
_atom_site_type_symbol
_atom_site_fract_x
_atom_site_fract_y
_atom_site_fract_z
Cr1 Cr 0.000 0.000 0.000
Mo1 Mo 0.500 0.500 0.500
Se1 Se 0.500 0.500 0.000
Br1 Br 0.000 0.500 0.500


# SiPtRh2 PBE optimized geometry
# volume: 14.12 Å³ per atom
# E_form (uncorrected): -0.36 eV/atom
# total moment: 0.00 μB per formula unit
# DOS at the Fermi energy: 6.28 states/eV per cell
data_SiPtRh2
_symmetry_space_group_name_H-M 'C m m m'
_symmetry_Int_Tables_number 65
_symmetry_space_group_name_Hall '-C 2 2'
_cell_length_a 5.466
_cell_length_b 7.306
_cell_length_c 2.829
_cell_angle_alpha 90.00
_cell_angle_beta 90.00
_cell_angle_gamma 90.00
loop_
_atom_site_label
_atom_site_type_symbol
_atom_site_fract_x
_atom_site_fract_y
_atom_site_fract_z
Si1 Si 0.000 0.000 0.000
Pt1 Pt 0.000 0.500 0.000
Rh1 Rh 0.250 0.250 0.500


# Mn2Tc3 PBE optimized geometry
# ΔE to the lowest computed polymorph: 289 meV/atom
# volume: 14.22 Å³ per atom
# DFT formation energy: 0.413 eV/atom
# total moment: 0.02 μB per formula unit
# DOS at the Fermi energy: 6.82 states/eV per cell
data_Mn2Tc3
_symmetry_space_group_name_H-M 'P -3 m 1'
_symmetry_Int_Tables_number 164
_symmetry_space_group_name_Hall '-P 3 2"'
_cell_length_a 3.9980
_cell_length_b 3.9980
_cell_length_c 5.1377
_cell_angle_alpha 90.00
_cell_angle_beta 90.00
_cell_angle_gamma 120.00
loop_
_atom_site_label
_atom_site_type_symbol
_atom_site_fract_x
_atom_site_fract_y
_atom_site_fract_z
Mn1 Mn 0.3333 0.6667 0.3555
Tc1 Tc 0.0000 0.0000 0.5000
Tc2 Tc 0.3333 0.6667 0.8674


# CaBi2POs PBE optimized geometry
# volume: 28.99 Å³ per atom
# DFT formation energy: 1.022 eV/atom
# total moment: 2.20 μB per formula unit
# DOS at the Fermi energy: 6.66 states/eV per cell
data_CaBi2POs
_symmetry_space_group_name_H-M 'P 4/m m m'
_symmetry_Int_Tables_number 123
_symmetry_space_group_name_Hall '-P 4 2'
_cell_length_a 5.327
_cell_length_b 5.327
_cell_length_c 5.108
_cell_angle_alpha 90.00
_cell_angle_beta 90.00
_cell_angle_gamma 90.00
loop_
_atom_site_label
_atom_site_type_symbol
_atom_site_fract_x
_atom_site_fract_y
_atom_site_fract_z
Ca1 Ca 0.000 0.000 0.000
Bi1 Bi 0.000 0.500 0.500
P1 P 0.000 0.000 0.500
Os1 Os 0.500 0.500 0.000


# RbBi3P PBE optimized geometry
# ΔE to the lowest computed polymorph: 1577 meV/atom
# volume: 49.10 Å³ per atom
# DFT formation energy: 1.788 eV/atom
# total moment: 2.41 μB per formula unit
# DOS at the Fermi energy: 8.91 states/eV per cell
data_RbBi3P
_symmetry_space_group_name_H-M 'P m -3 m'
_symmetry_Int_Tables_number 221
_symmetry_space_group_name_Hall '-P 4 2 3'
_cell_length_a 6.262
_cell_length_b 6.262
_cell_length_c 6.262
_cell_angle_alpha 90.00
_cell_angle_beta 90.00
_cell_angle_gamma 90.00
loop_
_atom_site_label
_atom_site_type_symbol
_atom_site_fract_x
_atom_site_fract_y
_atom_site_fract_z
Rb1 Rb 0.000 0.000 0.000
Bi1 Bi 0.000 0.000 0.500
P1 P 0.500 0.500 0.500